# Th6Os3RhS2, relaxed, DFT PBE-GGA
data_Th6Os3RhS2
_chemical_formula_sum 'Th12 Os6 Rh2 S4'
_symmetry_space_group_name_H-M 'C 1 2/m 1'
_symmetry_Int_Tables_number 12
_cell_length_a 18.590
_cell_length_b 4.111
_cell_length_c 8.243
_cell_angle_alpha 90.00
_cell_angle_beta 107.98
_cell_angle_gamma 90.00
loop_
_symmetry_equiv_pos_as_xyz
'x,y,z'
'-x,-y,-z'
'-x,y,-z'
'x,-y,z'
'x+1/2,y+1/2,z'
'-x+1/2,-y+1/2,-z'
'-x+1/2,y+1/2,-z'
'x+1/2,-y+1/2,z'
loop_
_atom_site_label
_atom_site_type_symbol
_atom_site_fract_x
_atom_site_fract_y
_atom_site_fract_z
_atom_site_occupancy
Th1 Th 0.008 0.000 0.244 1
Th2 Th 0.157 0.500 0.599 1
Th3 Th 0.165 0.500 0.136 1
Os1 Os 0.000 0.500 0.000 1
Os2 Os 0.186 0.000 0.388 1
Rh1 Rh 0.000 0.500 0.500 1
S1 S 0.171 0.000 0.870 1
# Spin magnetization: 0.00 μB per formula unit
# Calculated volume: 24.97 Å³ per atom
# ΔE_f (raw): -896 meV per atom

***

# Th6OsRh2S3, relaxed, DFT PBE-GGA
data_Th6OsRh2S3
_chemical_formula_sum 'Th12 Os2 Rh4 S6'
_symmetry_space_group_name_H-M 'C 1 2/m 1'
_symmetry_Int_Tables_number 12
_cell_length_a 18.440
_cell_length_b 4.070
_cell_length_c 8.528
_cell_angle_alpha 90.00
_cell_angle_beta 107.29
_cell_angle_gamma 90.00
loop_
_symmetry_equiv_pos_as_xyz
'x,y,z'
'-x,-y,-z'
'-x,y,-z'
'x,-y,z'
'x+1/2,y+1/2,z'
'-x+1/2,-y+1/2,-z'
'-x+1/2,y+1/2,-z'
'x+1/2,-y+1/2,z'
loop_
_atom_site_label
_atom_site_type_symbol
_atom_site_fract_x
_atom_site_fract_y
_atom_site_fract_z
_atom_site_occupancy
Th1 Th 0.004 0.000 0.235 1
Th2 Th 0.161 0.500 0.091 1
Th3 Th 0.170 0.500 0.574 1
Os1 Os 0.000 0.500 0.000 1
Rh1 Rh 0.168 0.000 0.336 1
S1 S 0.000 0.500 0.500 1
S2 S 0.167 0.000 0.833 1
# Spin magnetization: 0.00 μB per formula unit
# Calculated volume: 25.46 Å³ per atom
# ΔE_f (raw): -1210 meV per atom

***

# Th6OsRh3S2, relaxed, DFT PBE-GGA
data_Th6OsRh3S2
_chemical_formula_sum 'Th12 Os2 Rh6 S4'
_symmetry_space_group_name_H-M 'C 1 2/m 1'
_symmetry_Int_Tables_number 12
_cell_length_a 18.285
_cell_length_b 4.063
_cell_length_c 8.404
_cell_angle_alpha 90.00
_cell_angle_beta 105.82
_cell_angle_gamma 90.00
loop_
_symmetry_equiv_pos_as_xyz
'x,y,z'
'-x,-y,-z'
'-x,y,-z'
'x,-y,z'
'x+1/2,y+1/2,z'
'-x+1/2,-y+1/2,-z'
'-x+1/2,y+1/2,-z'
'x+1/2,-y+1/2,z'
loop_
_atom_site_label
_atom_site_type_symbol
_atom_site_fract_x
_atom_site_fract_y
_atom_site_fract_z
_atom_site_occupancy
Th1 Th 0.004 0.000 0.258 1
Th2 Th 0.160 0.500 0.587 1
Th3 Th 0.161 0.500 0.107 1
Os1 Os 0.000 0.500 0.500 1
Rh1 Rh 0.000 0.500 0.000 1
Rh2 Rh 0.176 0.000 0.351 1
S1 S 0.174 0.000 0.858 1
# Spin magnetization: 0.00 μB per formula unit
# Calculated volume: 25.03 Å³ per atom
# ΔE_f (raw): -1064 meV per atom

***

Among the records above, which one has the lowest ΔE_f (raw)?
Th6OsRh2S3